Compound: MnAu3
Source: Alexandria
Functional: GGA-PBEsol
Structure: relaxed

Values from the calculation:
VASP energy = -4.18 eV per atom
mass density = 9.26 Mg/m³
magnetic moment = 4.55 μB/cell

a b c (Å): 4.875 4.875 4.875
angles (deg): 90.00 90.00 90.00
Element x y z (fractional)
Au 0.500 0.000 0.000
Au 0.000 0.500 0.000
Au 0.000 0.000 0.500
Mn 0.000 0.000 0.000

***

Compound: MnAu3
Source: Alexandria
Functional: GGA-PBEsol
Structure: relaxed

Values from the calculation:
VASP energy = -5.38 eV per atom
mass density = 16.44 Mg/m³
magnetic moment = 8.72 μB/cell

a b c (Å): 4.037 4.037 8.500
angles (deg): 103.74 103.74 90.00
Element x y z (fractional)
Au 0.500 0.000 0.000
Au 0.876 0.876 0.753
Au 0.124 0.124 0.247
Au 0.250 0.750 0.500
Au 0.750 0.250 0.500
Au 0.000 0.500 0.000
Mn 0.627 0.627 0.254
Mn 0.373 0.373 0.746

***

Compound: Mn3Au
Source: Alexandria
Functional: GGA-PBEsol
Structure: relaxed

Values from the calculation:
VASP energy = -8.10 eV per atom
mass density = 11.70 Mg/m³
magnetic moment = 2.65 μB/cell

a b c (Å): 2.652 3.604 5.371
angles (deg): 90.00 90.02 90.00
Element x y z (fractional)
Au 0.000 0.000 0.000
Mn 0.500 0.500 0.725
Mn 0.000 0.000 0.500
Mn 0.500 0.500 0.275

***

Compound: MnAu3
Source: Alexandria
Functional: GGA-PBEsol
Structure: relaxed

Values from the calculation:
VASP energy = -5.39 eV per atom
mass density = 16.44 Mg/m³
magnetic moment = 8.59 μB/cell

a b c (Å): 4.655 5.688 5.688
angles (deg): 120.00 90.00 90.00
Element x y z (fractional)
Au 0.750 0.169 0.338
Au 0.250 0.831 0.662
Au 0.750 0.169 0.831
Au 0.250 0.831 0.169
Au 0.750 0.662 0.831
Au 0.250 0.338 0.169
Mn 0.750 0.667 0.333
Mn 0.250 0.333 0.667